HIrAu2: PBEsol geometry, SCAN.

## Properties
**Total magnetization**: 0.0 μB/f.u.
**Volume**: 57 Å³/f.u.

Unit cell a=4.3228 b=4.3228 c=4.3228 alpha=60.00 beta=60.00 gamma=60.00
Sites, in units of the cell vectors:
H (0.0000, 0.0000, 0.0000)
Ir (0.5000, 0.5000, 0.5000)
Au (0.2500, 0.2500, 0.2500)
Au (0.7500, 0.7500, 0.7500)

WC3Cl: PBEsol geometry, SCAN.

## Properties
**Total magnetization**: 0.0 μB/f.u.
**Volume**: 70 Å³/f.u.
**Formation energy from raw total energies**: 2110.7 meV per atom

Unit cell a=4.1263 b=4.1263 c=4.1263 alpha=90.00 beta=90.00 gamma=90.00
Sites, in units of the cell vectors:
W (0.0000, 0.0000, 0.0000)
C (0.0000, 0.0000, 0.5000)
C (0.0000, 0.5000, 0.0000)
C (0.5000, 0.0000, 0.0000)
Cl (0.5000, 0.5000, 0.5000)

| no. | VASP energy (eV/atom) |
| --- | --- |
| 1 | -52.22 |
| 2 | -19.48 |